Run a
LaDy3Tl2: optimized geometry, PBE.

Lattice parameters (Å, degrees): 5.1819 10.1592 6.8332 90.00 90.00 90.00
Closest atoms and distances in Å follow each position.
Space group Pmc2_1 (No. 26)
Symmetry-distinct sites (fractional):
La1 0.0000 0.0433 0.0000 [2 per cell]  5 Tl 3.32-3.57, 2 La 3.53, 2 Dy 3.55
Dy1 0.0000 0.3194 0.6178 [2 per cell]  4 Tl 3.18-3.26, 2 Dy 3.52
Dy2 0.5000 0.1957 0.2735 [2 per cell]  4 Tl 3.19-3.43, 2 La 3.55
Dy3 0.5000 0.4554 0.9023 [2 per cell]  5 Tl 3.24-3.57, 4 Dy 3.52-3.53
Tl1 0.0000 0.3689 0.1553 [2 per cell]  6 Dy 3.18-3.24, 1 La 3.47
Tl2 0.5000 0.1412 0.7331 [2 per cell]  5 Dy 3.19-3.43, 2 La 3.32

Output
Crystal system = orthorhombic
Fermi-level density of states = 6.5 states/eV/f.u.

Run b
LaDy3Tl2: optimized geometry, PBE.

Lattice parameters (Å, degrees): 16.6100 5.4357 9.3417 90.00 118.96 90.00
Closest atoms and distances in Å follow each position.
Space group C2/m (No. 12)
Symmetry-distinct sites (fractional):
La1 0.1319 0.0000 0.1748 [4 per cell]  5 Tl 3.33-3.58, 2 Dy 3.62
Dy1 0.0613 0.0000 0.7140 [4 per cell]  3 Tl 3.35-3.39, 6 Dy 3.50-3.66
Dy2 0.1153 0.5000 0.5383 [4 per cell]  3 Tl 3.01-3.15
Dy3 0.1937 0.5000 0.9907 [4 per cell]  1 Tl 3.04, 2 Dy 3.26
Tl1 0.0152 0.5000 0.1703 [4 per cell]  1 Tl 2.97, 2 Dy 3.01-3.04, 2 La 3.33
Tl2 0.2223 0.0000 0.5964 [4 per cell]  5 Dy 3.15-3.49, 1 La 3.47

Output
Crystal system = monoclinic
Fermi-level density of states = 6.7 states/eV/f.u.

Most favorable structure: run a. The second most favorable one is 0.079 eV/atom above it.

Run a
La6DyTl: optimized geometry, PBE.

Lattice parameters (Å, degrees): 8.5463 10.0959 6.4535 90.00 96.89 90.00
Closest atoms and distances in Å follow each position.
Space group C2/m (No. 12)
Symmetry-distinct sites (fractional):
La1 0.1499 0.0000 0.1987 [4 per cell]  1 Tl 3.37, 1 Dy 3.39, 7 La 3.40-3.68
La2 0.1705 0.1992 0.7248 [8 per cell]  5 La 3.41-3.79, 1 Tl 3.60, 1 Dy 3.73
Dy1 0.0000 0.5000 0.0000 [2 per cell]  2 Tl 3.23, 2 La 3.39
Tl1 0.0000 0.5000 0.5000 [2 per cell]  2 Dy 3.23, 6 La 3.37-3.60

Output
Crystal system = monoclinic
Fermi-level density of states = 9.7 states/eV/f.u.

Run b
La6DyTl: optimized geometry, PBE.

Lattice parameters (Å, degrees): 5.1215 5.1215 10.4083 90.00 90.00 90.00
Closest atoms and distances in Å follow each position.
Space group P4/mmm (No. 123)
Symmetry-distinct sites (fractional):
La1 0.0000 0.0000 0.0000 [1 per cell]  8 La 3.62, 4 Tl 3.62
La2 0.0000 0.0000 0.5000 [1 per cell]  4 Dy 3.62, 8 La 3.68
La3 0.0000 0.5000 0.2459 [4 per cell]  2 Tl 3.62, 8 La 3.62-3.68, 2 Dy 3.68
Dy1 0.5000 0.5000 0.5000 [1 per cell]  12 La 3.62-3.68
Tl1 0.5000 0.5000 0.0000 [1 per cell]  12 La 3.62

Output
Crystal system = tetragonal
Fermi-level density of states = 10.5 states/eV/f.u.

Most favorable structure: run b. The second most favorable one is 0.053 eV/atom above it.